Entry 1:
Here is a geometry-optimized RbYbP2O7 structure from the Alexandria database. Energies are from PBE-GGA.

ΔE_f (raw)	-2496	meV per atom

POSCAR file:
```
RbYbP2O7
1.0
-6.867 1.799 8.537
-6.157 -1.197 -4.700
-1.720 -8.651 0.440
O P Rb Yb
28 8 4 4
Direct
0.890 0.334 0.484
0.773 0.075 0.253
0.003 0.992 0.719
0.503 0.008 0.781
0.080 0.379 0.734
0.570 0.327 0.703
0.771 0.449 0.771
0.110 0.666 0.516
0.093 0.856 0.989
0.407 0.856 0.489
0.907 0.144 0.011
0.729 0.449 0.271
0.070 0.673 0.797
0.997 0.008 0.281
0.580 0.621 0.766
0.271 0.551 0.729
0.593 0.144 0.511
0.727 0.075 0.753
0.227 0.925 0.747
0.430 0.673 0.297
0.920 0.621 0.266
0.390 0.666 0.016
0.930 0.327 0.203
0.420 0.379 0.234
0.610 0.334 0.984
0.497 0.992 0.219
0.273 0.925 0.247
0.229 0.551 0.229
0.863 0.436 0.314
0.101 0.870 0.815
0.137 0.564 0.686
0.637 0.436 0.814
0.601 0.130 0.685
0.399 0.870 0.315
0.899 0.130 0.185
0.363 0.564 0.186
0.178 0.187 0.435
0.678 0.813 0.065
0.822 0.813 0.565
0.322 0.187 0.935
0.402 0.766 0.751
0.598 0.234 0.249
0.902 0.234 0.749
0.098 0.766 0.251
```


Entry 2:
Here is a geometry-optimized CeRuC structure from the Alexandria database. Energies are from PBE-GGA.

DFT formation energy	0.00	eV/atom
E above lowest polymorph	151	meV/atom

POSCAR file:
```
CeRuC
1.0
-2.722 1.193 -3.111
-1.863 -3.030 0.467
-0.854 2.937 1.874
Ce C Ru
1 1 1
Direct
0.667 0.333 0.667
0.167 0.667 0.333
0.167 0.000 0.000
```


Entry 3:
Here is a geometry-optimized CdGe3Sb structure from the Alexandria database. Energies are from PBE-GGA.

ΔE_f (raw)	794	meV per atom
E above lowest polymorph	0	meV/atom

POSCAR file:
```
CdGe3Sb
1.0
-0.899 5.054 0.442
-5.050 -0.849 -0.573
-0.490 -0.533 5.101
Sb Ge Cd
1 3 1
Direct
0.500 0.500 0.500
0.000 0.000 0.500
0.000 0.500 0.000
0.500 0.000 0.000
0.000 0.000 0.000
```


Number 1: total moment 1.07 μB/f.u., V 185 Å³/f.u., calculated density 3.88 g/cm³. Number 2: total moment 0.52 μB/f.u., V 48 Å³/f.u., calculated density 8.77 g/cm³. Number 3: total moment 0.00 μB/f.u., V 137 Å³/f.u., calculated density 5.49 g/cm³.